# 1
VASP calculation (GGA-PBE) on a relaxed structure of LaNb2PbO8.

Unit cell a=6.2100 b=6.2100 c=6.8675 alpha=90.00 beta=90.00 gamma=120.00
With the nearest neighbours (Å) after each atom.
Space group P-3m1 (No. 164)
One atom of each set of equivalent atoms:
1 La 0.0000 0.0000 0.0000 [1 per cell]  6 O 2.42
2 Nb 0.3333 0.6667 0.6744 [2 per cell]  4 O 1.78-1.93
3 Pb 0.0000 0.0000 0.5000 [1 per cell]  6 O 2.46
4 O 0.1617 0.3234 0.7541 [6 per cell]  1 Nb 1.93
5 O 0.3333 0.6667 0.4159 [2 per cell]  1 Nb 1.78

## Properties
formation energy without anion corrections: -2.306 eV/atom
V: 19.1 Å³ per atom

---

# 2
VASP calculation (GGA-PBE) on a relaxed structure of ScPaInTc.

Unit cell a=7.0182 b=7.0182 c=7.0182 alpha=90.00 beta=90.00 gamma=90.00
With the nearest neighbours (Å) after each atom.
Space group F-43m (No. 216)
One atom of each set of equivalent atoms:
1 Sc 0.0000 0.0000 0.0000 [4 per cell]  4 In 3.04, 4 Tc 3.04
2 Pa 0.0000 0.0000 0.5000 [4 per cell]  4 In 3.04, 4 Tc 3.04
3 In 0.2500 0.2500 0.2500 [4 per cell]  4 Pa 3.04, 4 Sc 3.04
4 Tc 0.2500 0.2500 0.7500 [4 per cell]  4 Sc 3.04, 4 Pa 3.04

## Properties
formation enthalpy at 0 K: -0.1 eV per formula unit
V: 21.6 Å³ per atom
E above lowest polymorph: 0.306 eV/atom

---

# 3
VASP calculation (GGA-PBE) on a relaxed structure of ZrCd2Os.

Unit cell a=6.6913 b=6.6913 c=6.6913 alpha=90.00 beta=90.00 gamma=90.00
With the nearest neighbours (Å) after each atom.
Space group Fm-3m (No. 225)
One atom of each set of equivalent atoms:
1 Zr 0.0000 0.0000 0.0000 [4 per cell]  8 Cd 2.90
2 Cd 0.2500 0.2500 0.2500 [8 per cell]  4 Zr 2.90, 4 Os 2.90
3 Os 0.0000 0.0000 0.5000 [4 per cell]  8 Cd 2.90

## Properties
formation enthalpy at 0 K: 1.3 eV per formula unit
V: 18.7 Å³ per atom
E above lowest polymorph: 0.328 eV/atom

---

# 4
VASP calculation (GGA-PBE) on a relaxed structure of TbY8Er6.

Unit cell a=9.6813 b=9.6813 c=17.7233 alpha=90.00 beta=90.00 gamma=120.00
With the nearest neighbours (Å) after each atom.
Space group R-3 (No. 148, hexagonal axes)
One atom of each set of equivalent atoms:
1 Tb 0.0000 0.0000 0.0000 [3 per cell]  6 Er 3.34, 6 Y 3.71
2 Y 0.0000 0.0000 0.4120 [6 per cell]  3 Er 3.11, 1 Y 3.12
3 Y 0.0572 0.8147 0.1718 [18 per cell]  3 Er 3.28-3.51, 2 Y 3.61
4 Er 0.0344 0.7438 0.6785 [18 per cell]  3 Y 3.11-3.44, 1 Tb 3.34, 3 Er 3.36-3.43

## Properties
formation enthalpy at 0 K: 2.8 eV per formula unit
V: 32.0 Å³ per atom
E above lowest polymorph: 0.000 eV/atom

---

# 5
VASP calculation (GGA-PBE) on a relaxed structure of KAsI2Br.

Unit cell a=5.8401 b=5.8401 c=5.4836 alpha=90.00 beta=90.00 gamma=90.00
With the nearest neighbours (Å) after each atom.
Space group P4/mmm (No. 123)
One atom of each set of equivalent atoms:
1 K 0.0000 0.0000 0.0000 [1 per cell]  8 I 4.01, 4 Br 4.13
2 As 0.5000 0.5000 0.5000 [1 per cell]  2 Br 2.74, 4 I 2.92
3 I 0.0000 0.5000 0.5000 [2 per cell]  2 As 2.92
4 Br 0.5000 0.5000 0.0000 [1 per cell]  2 As 2.74

## Properties
formation energy without anion corrections: -0.662 eV/atom
V: 37.4 Å³ per atom

---

# 6
VASP calculation (GGA-PBE) on a relaxed structure of LaCoRe2.

Unit cell a=3.1057 b=3.1057 c=7.4109 alpha=90.00 beta=90.00 gamma=90.00
With the nearest neighbours (Å) after each atom.
Space group P4mm (No. 99)
One atom of each set of equivalent atoms:
1 La 0.0000 0.0000 0.0000 [1 per cell]  4 La 3.11, 4 Co 3.14, 4 Re 3.22
2 Co 0.5000 0.5000 0.6970 [1 per cell]  5 Re 2.60-2.81
3 Re 0.0000 0.0000 0.5094 [1 per cell]  4 Co 2.60, 4 Re 2.61
4 Re 0.5000 0.5000 0.3181 [1 per cell]  4 Re 2.61, 1 Co 2.81

## Properties
formation enthalpy at 0 K: 1.0 eV per formula unit
V: 17.9 Å³ per atom
E above lowest polymorph: 0.079 eV/atom

---

# 7
VASP calculation (GGA-PBE) on a relaxed structure of K2BaTl2.

Unit cell a=10.1075 b=10.1075 c=4.0320 alpha=90.00 beta=90.00 gamma=90.00
With the nearest neighbours (Å) after each atom.
Space group P4/mbm (No. 127)
One atom of each set of equivalent atoms:
1 K 0.1201 0.3799 0.0000 [4 per cell]  1 K 3.43, 6 Tl 3.47-3.72
2 Ba 0.0000 0.0000 0.0000 [2 per cell]  4 K 4.03, 2 Ba 4.03, 8 Tl 4.21
3 Tl 0.1826 0.6826 0.5000 [4 per cell]  6 K 3.47-3.72

## Properties
formation enthalpy at 0 K: -0.2 eV per formula unit
V: 41.2 Å³ per atom
E above lowest polymorph: 0.035 eV/atom

---

# 8
VASP calculation (GGA-PBE) on a relaxed structure of LiCdPCl2.

Unit cell a=5.4748 b=5.4748 c=5.0440 alpha=90.00 beta=90.00 gamma=90.00
With the nearest neighbours (Å) after each atom.
Space group P4/mmm (No. 123)
One atom of each set of equivalent atoms:
1 Li 0.0000 0.0000 0.0000 [1 per cell]  8 Cl 3.72, 4 P 3.87
2 Cd 0.5000 0.5000 0.5000 [1 per cell]  2 P 2.52, 4 Cl 2.74
3 P 0.5000 0.5000 0.0000 [1 per cell]  2 Cd 2.52
4 Cl 0.0000 0.5000 0.5000 [2 per cell]  2 Cd 2.74

## Properties
formation energy without anion corrections: -0.247 eV/atom
V: 30.2 Å³ per atom
E above lowest polymorph: 0.000 eV/atom

---

# 9
VASP calculation (GGA-PBE) on a relaxed structure of CsRu2SF.

Unit cell a=5.2998 b=5.2998 c=5.2949 alpha=90.00 beta=90.00 gamma=90.00
With the nearest neighbours (Å) after each atom.
Space group P4/mmm (No. 123)
One atom of each set of equivalent atoms:
1 Cs 0.0000 0.0000 0.0000 [1 per cell]  2 S 2.65, 4 Ru 2.65
2 Ru 0.0000 0.5000 0.0000 [2 per cell]  2 Cs 2.65
3 S 0.0000 0.0000 0.5000 [1 per cell]  2 Cs 2.65
4 F 0.5000 0.5000 0.5000 [1 per cell]  8 Ru 3.75, 4 S 3.75

## Properties
formation energy without anion corrections: 2.263 eV/atom
V: 29.7 Å³ per atom

---

# 10
VASP calculation (GGA-PBE) on a relaxed structure of Pr5NdTl4.

Unit cell a=8.4006 b=9.4688 c=8.9409 alpha=90.00 beta=90.00 gamma=90.00
With the nearest neighbours (Å) after each atom.
Space group Pmmn (No. 59, origin choice 2)
One atom of each set of equivalent atoms:
1 Pr 0.0049 0.0551 0.2301 [8 per cell]  4 Tl 3.26-3.42, 1 Nd 3.58
2 Pr 0.2500 0.2500 0.5804 [2 per cell]  4 Tl 3.29-3.50
3 Nd 0.2500 0.7500 0.1726 [2 per cell]  4 Tl 2.96-3.28
4 Tl 0.0821 0.2500 0.9384 [4 per cell]  1 Tl 2.82, 1 Nd 2.96
5 Tl 0.2500 0.5877 0.4962 [4 per cell]  1 Tl 3.07, 5 Pr 3.27-3.42, 1 Nd 3.28

## Properties
formation enthalpy at 0 K: -0.7 eV per formula unit
V: 35.6 Å³ per atom
E above lowest polymorph: 0.228 eV/atom

---

# 11
VASP calculation (GGA-PBE) on a relaxed structure of YPb2.

Unit cell a=8.4798 b=8.4798 c=4.4149 alpha=90.00 beta=90.00 gamma=120.00
With the nearest neighbours (Å) after each atom.
Space group P-62m (No. 189)
One atom of each set of equivalent atoms:
1 Y 0.0000 0.0000 0.0000 [1 per cell]  9 Pb 3.17-3.44
2 Y 0.3333 0.6667 0.5000 [2 per cell]  9 Pb 3.14-3.39
3 Pb 0.0000 0.4056 0.0000 [3 per cell]  5 Y 3.39-3.44, 6 Pb 3.54-3.75
4 Pb 0.0000 0.7324 0.5000 [3 per cell]  4 Y 3.14-3.17

## Properties
formation enthalpy at 0 K: -0.4 eV per formula unit
V: 30.5 Å³ per atom

---

# 12
VASP calculation (GGA-PBE) on a relaxed structure of HgPtS2.

Unit cell a=5.8892 b=5.8892 c=11.0524 alpha=90.00 beta=90.00 gamma=90.00
With the nearest neighbours (Å) after each atom.
Space group I-42d (No. 122)
One atom of each set of equivalent atoms:
1 Hg 0.0000 0.0000 0.0000 [4 per cell]  4 S 2.71
2 Pt 0.0000 0.0000 0.5000 [4 per cell]  4 S 2.32
3 S 0.1941 0.2500 0.6250 [8 per cell]  2 Pt 2.32

## Properties
formation energy without anion corrections: -0.021 eV/atom
V: 24.0 Å³ per atom